No. 1
Density functional theory data (PBE) for crystalline Pr6N5O at its relaxed geometry.

Output
ρ ... 7.3 g/cm³
Final energy ... -7.86 eV/atom
SG ... C2/m (12)
Spin magnetization ... 0.0 μB/cell
Crystal system ... monoclinic
Calculated volume ... 210.9 Å³ per cell

Geometry as POSCAR:
```
Pr6N5O
1.0
6.241 -0.999 -0.777
-2.409 5.844 -0.777
-0.371 -0.469 6.340
Pr N O
6 5 1
Direct
0.421 0.084 0.252
0.253 0.253 0.747
0.916 0.579 0.748
0.579 0.916 0.748
0.084 0.421 0.252
0.747 0.747 0.253
0.334 0.666 0.000
0.666 0.334 0.000
0.831 0.169 0.500
0.500 0.500 0.500
0.169 0.831 0.500
0.000 0.000 0.000
```



No. 2
Density functional theory data (PBE) for crystalline Pr4N3O at its relaxed geometry.

Output
ρ ... 7.4 g/cm³
Final energy ... -7.86 eV/atom
SG ... Cmmm (65)
Spin magnetization ... 0.0 μB/cell
ΔE to the lowest computed polymorph ... 0 meV per atom
Crystal system ... orthorhombic
Calculated volume ... 139.5 Å³ per cell

Geometry as POSCAR:
```
Pr4N3O
1.0
-3.478 -0.964 0.656
1.494 -1.279 6.038
-0.787 5.229 3.516
O N Pr
1 3 4
Direct
0.500 0.500 0.000
0.000 0.500 0.500
0.000 0.000 0.000
0.500 0.000 0.500
0.500 0.752 0.252
0.000 0.245 0.255
0.000 0.755 0.745
0.500 0.249 0.748
```